{"formula": "CuSiBr2", "functional": "PBE-GGA", "state": "relaxed", "dos_ef_per_ev_atom": 0.49, "crystal_system": "orthorhombic", "m_tot_mub_per_fu": 0.00, "de_polymorph_ev_per_atom": 0.040, "sg": "Pmm2 (25)", "lattice": [[3.0329, 0.0000, 0.0000], [0.0000, 3.5082, 0.0000], [0.0000, 0.0000, 9.0014]], "species": ["Br", "Br", "Si", "Cu"], "frac_coords": [[0.5000, 0.5000, 0.3244], [0.0000, 0.0000, 0.9348], [0.5000, 0.5000, 0.5738], [0.0000, 0.0000, 0.6669]]}

{"formula": "AsSe2Br", "functional": "PBE-GGA", "state": "relaxed", "dos_ef_per_ev_atom": 0.76, "crystal_system": "orthorhombic", "m_tot_mub_per_fu": 0.00, "de_polymorph_ev_per_atom": 0.503, "sg": "Immm (71)", "lattice": [[6.0207, 0.0136, -0.0064], [2.7973, 5.3314, 0.0064], [-3.8476, -3.5986, 2.9146]], "species": ["Br", "Se", "Se", "As"], "frac_coords": [[0.2500, 0.7500, 0.5000], [0.5570, 0.5570, 0.0000], [0.9430, 0.9430, 0.0000], [0.7500, 0.2500, 0.5000]]}

Q: Number 1 is which compound?
A: CuSiBr2

Q: Number 1 is which compound?
A: CuSiBr2